A plane-wave DFT calculation with PBE-GGA was carried out for crystalline YMgCl2 at its relaxed geometry.

The calculation puts the polymorph energy (0 for the lowest one) at 21 meV per atom. For the raw total energy, the calculation gives -4.17 eV/atom. As for the formation energy (no corrections): -1.23 eV/atom.

The structure belongs to space group R-3m (No. 166, hexagonal axes); the cell edges are 3.5628, 3.5628 and 32.4702 Å and the angles 90.00°, 90.00° and 120.00°. Symmetry generates all atoms from Y at (0.0000, 0.0000, 0.0000), Mg at (0.0000, 0.0000, 0.5000) and Cl at (0.0000, 0.0000, 0.2773).

---

A plane-wave DFT calculation with PBE-GGA was carried out for crystalline SrIn6 at its relaxed geometry.

The calculation puts the polymorph energy (0 for the lowest one) at 0 meV per atom. For the raw total energy, the calculation gives -2.77 eV/atom. The formation energy is -185 meV/atom.

The structure belongs to space group P4/nbm (No. 125, origin choice 2); the cell edges are 6.790, 6.790 and 8.820 Å and the angles 90.00°, 90.00° and 90.00°. Symmetry generates all atoms from Sr at (0.250, 0.750, 0.000), In at (0.077, 0.577, 0.355) and In at (0.250, 0.250, 0.163).

---

A plane-wave DFT calculation with PBE-GGA was carried out for crystalline RbAl2Hg at its relaxed geometry.

For the raw total energy, the calculation gives -1.95 eV/atom. The formation energy is 237 meV/atom.

The structure belongs to space group I4_1/amd (No. 141, origin choice 2); the cell edges are 5.340, 5.340 and 19.431 Å and the angles 90.00°, 90.00° and 90.00°. Symmetry generates all atoms from Rb at (0.000, 0.250, 0.375), Al at (0.000, 0.000, 0.000) and Hg at (0.000, 0.250, 0.875).

---

A plane-wave DFT calculation with PBE-GGA was carried out for crystalline Pm8Ge5Sb at its relaxed geometry.

For the raw total energy, the calculation gives -5.53 eV/atom. As for the formation energy (no corrections): -0.87 eV/atom.

The structure belongs to space group I-4 (No. 82); the cell edges are 9.190, 9.190 and 9.117 Å and the angles 90.00°, 90.00° and 90.00°. Symmetry generates all atoms from Pm at (0.065, 0.313, 0.438), Pm at (0.069, 0.175, 0.812), Ge at (0.000, 0.000, 0.500), Ge at (0.127, 0.250, 0.124) and Sb at (0.000, 0.500, 0.750).

---

A plane-wave DFT calculation with PBE-GGA was carried out for crystalline Ca2TaSiSe at its relaxed geometry.

For the raw total energy, the calculation gives -4.27 eV/atom. As for the formation energy (no corrections): 0.68 eV/atom.

The structure belongs to space group P4/mmm (No. 123); the cell edges are 5.923, 5.923 and 4.800 Å and the angles 90.00°, 90.00° and 90.00°. Symmetry generates all atoms from Ca at (0.000, 0.500, 0.000), Ta at (0.000, 0.000, 0.000), Si at (0.500, 0.500, 0.500) and Se at (0.000, 0.000, 0.500).

---

A plane-wave DFT calculation with PBE-GGA was carried out for crystalline Li4Ag2Rh at its relaxed geometry.

For the raw total energy, the calculation gives -3.08 eV/atom. The formation energy is -117 meV/atom.

The structure belongs to space group Fmm2 (No. 42); the cell edges are 8.018, 8.073 and 7.132 Å and the angles 90.00°, 90.00° and 90.00°. Symmetry generates all atoms from Li at (0.000, 0.238, 0.000), Li at (0.238, 0.000, 0.512), Ag at (0.250, 0.250, 0.256) and Rh at (0.000, 0.000, 0.256).

---

A plane-wave DFT calculation with PBE-GGA was carried out for crystalline MgOs2W at its relaxed geometry.

For the raw total energy, the calculation gives -8.79 eV/atom. The formation energy is 465 meV/atom.

The structure belongs to space group Pmmm (No. 47); the cell edges are 3.030, 4.324 and 4.650 Å and the angles 90.00°, 90.00° and 90.00°. Symmetry generates all atoms from Mg at (0.000, 0.000, 0.000), Os at (0.000, 0.500, 0.500), Os at (0.500, 0.500, 0.000) and W at (0.500, 0.000, 0.500).

---

A plane-wave DFT calculation with PBE-GGA was carried out for crystalline MgCr4Cu at its relaxed geometry.

For the raw total energy, the calculation gives -6.92 eV/atom. The formation energy is 449 meV/atom.

The structure belongs to space group F-43m (No. 216); the cell edges are 6.814, 6.814 and 6.814 Å and the angles 90.00°, 90.00° and 90.00°. Symmetry generates all atoms from Mg at (0.000, 0.000, 0.000), Cr at (0.125, 0.125, 0.625) and Cu at (0.250, 0.250, 0.250).

---

Please write out number 6 again, unchanged.
A plane-wave DFT calculation with PBE-GGA was carried out for crystalline Li4Ag2Rh at its relaxed geometry.

For the raw total energy, the calculation gives -3.08 eV/atom. The formation energy is -117 meV/atom.

The structure belongs to space group Fmm2 (No. 42); the cell edges are 8.018, 8.073 and 7.132 Å and the angles 90.00°, 90.00° and 90.00°. Symmetry generates all atoms from Li at (0.000, 0.238, 0.000), Li at (0.238, 0.000, 0.512), Ag at (0.250, 0.250, 0.256) and Rh at (0.000, 0.000, 0.256).

---

- raw total energy of number 1 (YMgCl2)?
  -4.17 eV/atom